Computed, not measured: a geometry-optimized PrHo5Th4 structure at the PBE level of DFT.

The calculation puts the volume at 32.692 A^3/atom. As for the density of states at the Fermi level: 13.284 states/eV/f.u. The formation energy is 0.26 eV/atom. The calculation puts the density at 9.6 g/cm³.

It has space group C2 (No. 5), with a = 11.877 Å, b = 6.261 Å, c = 10.176 Å, α = 90.00°, β = 120.22° and γ = 90.00°. Symmetry generates all atoms from Pr at (0.000, 0.000, 0.000), Ho at (0.000, 0.538, 0.000), Ho at (0.057, 0.770, 0.383), Ho at (0.167, 0.262, 0.679), Th at (0.139, 0.273, 0.322) and Th at (0.233, 0.766, 0.918).